No. 1
{
  "formula": "CaMnTe2",
  "functional": "GGA-PBE",
  "state": "relaxed",
  "lattice": [[4.322, 0.002, 0.002], [2.159, 3.744, 0.002], [2.158, 1.247, 7.087]],
  "species": ["Te", "Te", "Ca", "Mn"],
  "frac_coords": [[0.991, 0.991, 0.027], [0.509, 0.509, 0.473], [0.750, 0.750, 0.750], [0.250, 0.250, 0.250]],
  "e_tot_ha_per_atom": -0.190
}


No. 2
{
  "formula": "CeNpSn6",
  "functional": "GGA-PBE",
  "state": "relaxed",
  "lattice": [[-2.962, -3.584, -0.671], [-0.057, -0.818, 4.625], [-7.225, 5.796, 0.936]],
  "species": ["Sn", "Sn", "Sn", "Sn", "Sn", "Sn", "Np", "Ce"],
  "frac_coords": [[0.500, 0.000, 0.253], [0.500, 0.500, 0.500], [0.000, 0.500, 0.747], [0.500, 0.500, 0.000], [0.000, 0.500, 0.253], [0.500, 0.000, 0.747], [0.000, 0.000, 0.500], [0.000, 0.000, 0.000]],
  "formation_energy_kj_per_mol_fu": -271,
  "e_tot_ha_per_atom": -0.210
}


No. 3
{
  "formula": "Ce2ZrPN5",
  "functional": "GGA-PBE",
  "state": "relaxed",
  "lattice": [[-3.425, -3.229, 2.900], [0.884, -4.762, -4.259], [4.985, -2.175, 3.467]],
  "species": ["P", "P", "N", "N", "N", "N", "N", "N", "N", "N", "N", "N", "Ce", "Ce", "Ce", "Ce", "Zr", "Zr"],
  "frac_coords": [[0.000, 0.500, 0.000], [0.000, 0.000, 0.500], [0.783, 0.638, 0.862], [0.783, 0.138, 0.638], [0.783, 0.862, 0.362], [0.783, 0.362, 0.138], [0.500, 0.500, 0.500], [0.217, 0.362, 0.138], [0.500, 0.000, 0.000], [0.217, 0.138, 0.638], [0.217, 0.862, 0.362], [0.217, 0.638, 0.862], [0.500, 0.676, 0.176], [0.500, 0.324, 0.824], [0.500, 0.824, 0.676], [0.500, 0.176, 0.324], [0.000, 0.000, 0.000], [0.000, 0.500, 0.500]],
  "e_tot_ha_per_atom": -0.301
}


No. 4
{
  "formula": "La2TiAg",
  "functional": "GGA-PBE",
  "state": "relaxed",
  "lattice": [[-1.346, 2.598, -1.330], [-1.778, -0.295, -2.660], [-10.337, -0.780, 5.055]],
  "species": ["Ag", "La", "La", "Ti"],
  "frac_coords": [[0.500, 0.500, 0.500], [0.915, 0.915, 0.254], [0.085, 0.085, 0.746], [0.000, 0.000, 0.000]],
  "formation_energy_kj_per_mol_fu": 148,
  "e_tot_ha_per_atom": -0.175
}